First-principles (PBE) data for a relaxed SbIrF2 crystal, as listed in Alexandria.

Summary:
N(E_F) ... 2.515 states/eV/f.u.
SG ... R-3m, No. 166
Energy above the lowest structure with this stoichiometry ... 56.7 meV per atom
Total moment ... 0.5 μB per formula unit
Energy relative to the elements, uncorrected ... -59 kJ per mole of atoms

a b c (Å): 8.426 8.426 8.426
angles (deg): 20.10 20.10 20.10
Each line ends with the local moment (μB).
Element x y z (fractional)
Sb: 0.500 0.500 0.500  0.00
F: 0.081 0.081 0.081  0.02
Ir: 0.000 0.000 0.000  0.45
F: 0.919 0.919 0.919  0.02